# Na3LiHf

An optimized crystal structure of Na3LiHf (PBE, the Alexandria database).

Summary:
E_tot, eV per cell: -9.5
DOS at the Fermi energy, states/eV per cell: 10.377

Structure (POSCAR):
```
Na3LiHf
1.0
6.203 0.000 0.000
0.000 6.203 0.000
0.000 0.000 6.203
Na Hf Li
3 1 1
Direct
0.000 0.500 0.000
0.000 0.000 0.500
0.500 0.000 0.000
0.000 0.000 0.000
0.500 0.500 0.500
```

# NaLi2Hf

An optimized crystal structure of NaLi2Hf (PBE, the Alexandria database).

Summary:
E_tot, eV per cell: -12.3
DOS at the Fermi energy, states/eV per cell: 5.808

Structure (POSCAR):
```
NaLi2Hf
1.0
0.000 3.515 3.515
3.515 0.000 3.515
3.515 3.515 0.000
Na Hf Li
1 1 2
Direct
0.000 0.000 0.000
0.500 0.500 0.500
0.250 0.250 0.250
0.750 0.750 0.750
```

# NaLi2Hf

An optimized crystal structure of NaLi2Hf (PBE, the Alexandria database).

Summary:
E_tot, eV per cell: -24.1
DOS at the Fermi energy, states/eV per cell: 7.057

Structure (POSCAR):
```
NaLi2Hf
1.0
7.475 0.000 0.000
0.000 7.475 0.000
3.738 3.738 3.090
Na Hf Li
2 2 4
Direct
0.500 0.500 0.000
0.250 0.750 0.500
0.000 0.000 0.000
0.750 0.250 0.500
0.605 0.125 0.250
0.145 0.625 0.250
0.375 0.395 0.750
0.875 0.855 0.750
```